# 1
Material: LiCu2Sb
Method: DFT, PBE
State: relaxed

Values from the calculation:
* total energy: -3.3612 eV per atom

a b c (Å): 6.2413 6.2413 6.2413
angles (deg): 90.00 90.00 90.00
Positions (direct):
1 Sb 0.5000 0.0000 0.5000
2 Sb 0.5000 0.5000 0.0000
3 Sb 0.5000 0.5000 0.5000
4 Sb 0.0000 0.5000 0.5000
5 Cu 0.7803 0.7803 0.7803
6 Cu 0.7803 0.7803 0.2197
7 Cu 0.7803 0.2197 0.2197
8 Cu 0.2197 0.7803 0.2197
9 Cu 0.2197 0.7803 0.7803
10 Cu 0.7803 0.2197 0.7803
11 Cu 0.2197 0.2197 0.2197
12 Cu 0.2197 0.2197 0.7803
13 Li 0.0000 0.0000 0.0000
14 Li 0.5000 0.0000 0.0000
15 Li 0.0000 0.5000 0.0000
16 Li 0.0000 0.0000 0.5000

# 2
Material: Li4Cu2SiSb
Method: DFT, PBE
State: relaxed

Values from the calculation:
* total energy: -3.4309 eV per atom

a b c (Å): 4.2297 4.2297 6.1458
angles (deg): 90.00 90.00 90.00
Positions (direct):
1 Cu 0.5000 0.0000 0.2818
2 Cu 0.0000 0.5000 0.7182
3 Li 0.0000 0.0000 0.5000
4 Li 0.5000 0.5000 0.0000
5 Li 0.5000 0.0000 0.7279
6 Li 0.0000 0.5000 0.2721
7 Si 0.5000 0.5000 0.5000
8 Sb 0.0000 0.0000 0.0000

# 3
Material: LiCuTcSb
Method: DFT, PBE
State: relaxed

Values from the calculation:
* excess energy over the best structure of this formula in the dataset: 0.00 eV per formula unit
* size of the total moment: 0.00 μB/cell

a b c (Å): 4.3950 4.3950 4.3950
angles (deg): 60.00 60.00 60.00
Positions (direct):
1 Tc 0.2500 0.2500 0.2500
2 Li 0.5000 0.5000 0.5000
3 Sb 0.0000 0.0000 0.0000
4 Cu 0.7500 0.7500 0.7500

# 4
Material: LiCuTcSb
Method: DFT, PBE
State: relaxed

Values from the calculation:
* excess energy over the best structure of this formula in the dataset: 1.02 eV per formula unit
* size of the total moment: 0.03 μB/cell

a b c (Å): 4.3742 4.3742 4.3742
angles (deg): 60.00 60.00 60.00
Positions (direct):
1 Tc 0.5000 0.5000 0.5000
2 Cu 0.7500 0.7500 0.7500
3 Sb 0.0000 0.0000 0.0000
4 Li 0.2500 0.2500 0.2500

# 5
Material: LiCuSbW
Method: DFT, PBE
State: relaxed

Values from the calculation:
* excess energy over the best structure of this formula in the dataset: 0.00 eV per formula unit
* size of the total moment: 0.02 μB/cell

a b c (Å): 4.4701 4.4701 4.4701
angles (deg): 60.00 60.00 60.00
Positions (direct):
1 Cu 0.7500 0.7500 0.7500
2 Sb 0.0000 0.0000 0.0000
3 Li 0.5000 0.5000 0.5000
4 W 0.2500 0.2500 0.2500

# 6
Material: LiCuSbW
Method: DFT, PBE
State: relaxed

Values from the calculation:
* excess energy over the best structure of this formula in the dataset: 0.73 eV per formula unit
* size of the total moment: 1.55 μB/cell

a b c (Å): 4.4598 4.4598 4.4598
angles (deg): 60.00 60.00 60.00
Positions (direct):
1 Cu 0.7500 0.7500 0.7500
2 Sb 0.0000 0.0000 0.0000
3 Li 0.2500 0.2500 0.2500
4 W 0.5000 0.5000 0.5000

# 7
Material: LiYCuSb
Method: DFT, PBE
State: relaxed

Values from the calculation:
* excess energy over the best structure of this formula in the dataset: 0.58 eV per formula unit
* size of the total moment: 0.00 μB/cell

a b c (Å): 4.8848 4.8848 4.8848
angles (deg): 60.00 60.00 60.00
Positions (direct):
1 Cu 0.7500 0.7500 0.7500
2 Li 0.5000 0.5000 0.5000
3 Y 0.2500 0.2500 0.2500
4 Sb 0.0000 0.0000 0.0000

# 8
Material: LiYCuSb
Method: DFT, PBE
State: relaxed

Values from the calculation:
* excess energy over the best structure of this formula in the dataset: 0.00 eV per formula unit
* size of the total moment: 0.00 μB/cell

a b c (Å): 4.7468 4.7468 4.7468
angles (deg): 60.00 60.00 60.00
Positions (direct):
1 Cu 0.7500 0.7500 0.7500
2 Li 0.2500 0.2500 0.2500
3 Y 0.5000 0.5000 0.5000
4 Sb 0.0000 0.0000 0.0000

# 9
Material: LiZnCuSb
Method: DFT, PBE
State: relaxed

Values from the calculation:
* excess energy over the best structure of this formula in the dataset: 0.00 eV per formula unit

a b c (Å): 4.5276 4.5276 4.5276
angles (deg): 60.00 60.00 60.00
Positions (direct):
1 Cu 0.2500 0.2500 0.2500
2 Sb 0.0000 0.0000 0.0000
3 Zn 0.5000 0.5000 0.5000
4 Li 0.7500 0.7500 0.7500

# 10
Material: LiZrCuSb
Method: DFT, PBE
State: relaxed

Values from the calculation:
* excess energy over the best structure of this formula in the dataset: 0.00 eV per formula unit
* size of the total moment: 0.06 μB/cell

a b c (Å): 4.6215 4.6215 4.6215
angles (deg): 60.00 60.00 60.00
Positions (direct):
1 Cu 0.2500 0.2500 0.2500
2 Li 0.7500 0.7500 0.7500
3 Sb 0.0000 0.0000 0.0000
4 Zr 0.5000 0.5000 0.5000

# 11
Material: LiZrCuSb
Method: DFT, PBE
State: relaxed

Values from the calculation:
* excess energy over the best structure of this formula in the dataset: 0.14 eV per formula unit
* size of the total moment: 0.31 μB/cell

a b c (Å): 4.6934 4.6934 4.6934
angles (deg): 60.00 60.00 60.00
Positions (direct):
1 Cu 0.7500 0.7500 0.7500
2 Sb 0.0000 0.0000 0.0000
3 Li 0.5000 0.5000 0.5000
4 Zr 0.2500 0.2500 0.2500

# 12
Material: Li2ScCu
Method: DFT, PBE
State: relaxed

Values from the calculation:
* total energy: -3.4104 eV per atom
* size of the total moment: 0.20 μB/cell

a b c (Å): 4.4783 4.4783 4.4783
angles (deg): 60.00 60.00 60.00
Positions (direct):
1 Li 0.7500 0.7500 0.7500
2 Li 0.0000 0.0000 0.0000
3 Sc 0.5000 0.5000 0.5000
4 Cu 0.2500 0.2500 0.2500